Record 1
The following is a PBEsol calculation of a relaxed TlTeAs2Br crystal, from the Alexandria database.

POSCAR file:
```
TlTeAs2Br
1.0
5.2412 0.0000 0.0000
0.0000 5.3225 0.0000
0.0000 0.0000 5.3225
As Te Br Tl
2 1 1 1
Direct
0.0000 0.0000 0.5000
0.0000 0.5000 0.0000
0.5000 0.5000 0.5000
0.5000 0.0000 0.0000
0.0000 0.0000 0.0000
```

DFT total energy: -14.22 eV per cell

Record 2
The following is a PBEsol calculation of a relaxed ZnTeAs2Br crystal, from the Alexandria database.

POSCAR file:
```
ZnTeAs2Br
1.0
-2.0535 4.8124 0.9379
-4.6677 -2.2301 1.2228
1.5558 -0.3641 5.2748
As Te Br Zn
2 1 1 1
Direct
0.5000 0.0000 0.0000
0.0000 0.5000 0.0000
0.0000 0.0000 0.0000
0.0000 0.0000 0.5000
0.5000 0.5000 0.5000
```

DFT total energy: -12.82 eV per cell

Record 3
The following is a PBEsol calculation of a relaxed TiAsBr2 crystal, from the Alexandria database.

POSCAR file:
```
TiAsBr2
1.0
-2.5476 -1.7715 3.7954
3.4204 -5.2122 3.0292
1.6669 3.3364 5.8422
As Ti Br
2 2 4
Direct
0.7500 0.5000 0.5000
0.0000 0.0000 0.0000
0.5000 0.0000 0.0000
0.2500 0.5000 0.5000
0.3750 0.3560 0.1440
0.8750 0.6440 0.8560
0.2690 0.8560 0.3560
0.4810 0.1440 0.6440
```

DFT total energy: -37.51 eV per cell

Record 4
The following is a PBEsol calculation of a relaxed YTiAsBr2 crystal, from the Alexandria database.

POSCAR file:
```
YTiAsBr2
1.0
-4.5857 1.4742 -0.3499
-1.5058 -4.5579 0.5313
-0.1786 0.6522 5.0888
Y Br Ti As
1 2 1 1
Direct
0.5000 0.5000 0.5000
0.5000 0.0000 0.0000
0.0000 0.5000 0.0000
0.0000 0.0000 0.0000
0.0000 0.0000 0.5000
```

DFT total energy: -26.82 eV per cell

Record 5
The following is a PBEsol calculation of a relaxed TlAs2Br crystal, from the Alexandria database.

POSCAR file:
```
TlAs2Br
1.0
-0.1399 -2.9885 2.2020
-2.4020 -2.4744 -3.5108
5.4444 -0.0306 -2.8289
As Br Tl
2 1 1
Direct
0.7693 0.8410 0.5386
0.2307 0.1590 0.4614
0.5000 0.5000 0.0000
0.0000 0.0000 0.0000
```

DFT total energy: -15.33 eV per cell
Excess energy over the best structure of this formula in the dataset: 0 kJ/mol of formula units

Record 6
The following is a PBEsol calculation of a relaxed TlAs2Br crystal, from the Alexandria database.

POSCAR file:
```
TlAs2Br
1.0
-1.2931 -3.0810 0.6377
4.3697 -2.0165 -0.8824
-0.2089 3.0950 5.4572
Br As Tl
1 2 1
Direct
0.5000 0.0000 0.0000
0.2749 0.2749 0.5498
0.7251 0.7251 0.4502
0.0000 0.5000 0.0000
```

DFT total energy: -13.75 eV per cell
Excess energy over the best structure of this formula in the dataset: 153 kJ/mol of formula units